No. 1
# NdAlTl2

NdAlTl2 after structural relaxation (PBE, Alexandria via LeMat-Bulk).

The structure in extended XYZ format:
```
4
Lattice="4.682 0.000 0.000 0.000 4.682 0.000 0.000 0.000 4.727" Properties=species:S:1:pos:R:3 pbc="T T T"
Nd 0.000 0.000 0.000
Al 2.341 2.341 0.000
Tl 0.000 2.341 2.363
Tl 2.341 0.000 2.363
```

## Properties
- E_form (meV/atom) = -254
- relative energy among the computed polymorphs (eV/atom) = 0.000

=====

No. 2
# CrSnN2

CrSnN2 after structural relaxation (PBE, Alexandria via LeMat-Bulk).

The structure in extended XYZ format:
```
4
Lattice="3.300 0.000 0.000 0.918 3.347 0.000 0.042 1.171 5.477" Properties=species:S:1:pos:R:3 pbc="T T T"
Cr 0.000 0.000 0.000
Sn 2.578 3.411 3.275
N 1.020 1.573 0.451
N 1.671 0.548 0.954
```

## Properties
- uncorrected formation energy (eV per atom) = 0.284

=====

No. 3
# Y2HfTl2Se6

Y2HfTl2Se6 after structural relaxation (PBE, Alexandria via LeMat-Bulk).

The structure in extended XYZ format:
```
11
Lattice="3.520 -6.067 0.000 3.520 6.067 0.000 -2.424 0.000 7.849" Properties=species:S:1:pos:R:3 pbc="T T T"
Y 3.520 4.032 0.000
Y 3.520 -4.032 0.000
Hf 3.520 0.000 0.000
Tl 2.308 2.065 3.925
Tl 2.308 -2.065 3.925
Se -0.020 1.904 6.279
Se 1.309 0.000 1.572
Se -0.020 -1.904 6.279
Se 4.637 1.904 1.570
Se 3.308 0.000 6.277
Se 4.637 -1.904 1.570
```

## Properties
- uncorrected formation energy (eV per atom) = -1.379